1.
Entry from the Alexandria database: crystalline TbNdGaCu at its relaxed geometry (PBE-GGA).

Cell: 7.213 7.213 7.213 Å, 90.00 90.00 90.00°
Space group F-43m (No. 216)
Unique sites:
Tb  0.000  0.000  0.000 (multiplicity 4)
Nd  0.000  0.000  0.500 (multiplicity 4)
Ga  0.250  0.250  0.250 (multiplicity 4)
Cu  0.250  0.250  0.750 (multiplicity 4)

- energy of formation from the pure elements (eV/atom) = -0.366

2.
Entry from the Alexandria database: crystalline TbNdGa2Cu2 at its relaxed geometry (PBE-GGA).

Cell: 4.3805 4.3805 7.3924 Å, 90.00 90.00 120.00°
Space group P-3m1 (No. 164)
Unique sites:
Tb  0.0000  0.0000  0.0000 (multiplicity 1)
Nd  0.0000  0.0000  0.5000 (multiplicity 1)
Ga  0.3333  0.6667  0.7655 (multiplicity 2)
Cu  0.3333  0.6667  0.2271 (multiplicity 2)

- energy of formation from the pure elements (eV/atom) = -0.471

Q: Which of these has the highest energy of formation from the pure elements?
A: TbNdGaCu

Q: The lowest energy of formation from the pure elements belongs to which entry?
A: TbNdGa2Cu2

Q: The lowest energy of formation from the pure elements belongs to which entry?
A: TbNdGa2Cu2

Q: Among the records above, which one has the highest energy of formation from the pure elements?
A: TbNdGaCu